Version A
This record from the Alexandria database describes a geometry-optimized Mg8Zn4Cu structure. The functional is PBE.

```
Mg8Zn4Cu
1.0
7.4750 -0.1443 0.0000
-5.5818 4.9739 0.0000
-0.9466 -2.4148 7.0120
Mg Cu Zn
8 1 4
direct
0.3463 0.0000 0.3463
0.5000 0.7039 0.2039
0.7039 0.5000 0.2039
0.5000 0.2961 0.7961
0.6537 0.0000 0.6537
0.0000 0.6537 0.6537
0.0000 0.3463 0.3463
0.2961 0.5000 0.7961
0.0000 0.0000 0.0000
0.0000 0.0000 0.5000
0.5000 0.5000 0.5000
0.5000 0.0000 0.0000
0.0000 0.5000 0.0000
```

Properties
space group: I4/mmm, No. 139

Version B
This record from the Alexandria database describes a geometry-optimized Mg8Zn4Cu structure. The functional is PBE.

```
Mg8Zn4Cu
1.0
-1.7402 -4.6421 6.7079
5.1608 3.8949 -5.2697
-2.1499 7.0967 3.8195
Zn Mg Cu
4 8 1
direct
0.3317 0.4689 0.8006
0.4689 0.6683 0.1371
0.6683 0.5311 0.1994
0.5311 0.3317 0.8629
0.2120 0.8553 0.0673
0.0735 0.6303 0.7038
0.7880 0.1447 0.9327
0.6303 0.9265 0.5568
0.9265 0.3697 0.2962
0.8553 0.7880 0.6434
0.3697 0.0735 0.4432
0.1447 0.2120 0.3566
0.0000 0.0000 0.0000
```

Properties
space group: I4/m, No. 87

Result of the stability comparison: version A is the least stable of them.

Version A
This record from the Alexandria database describes a geometry-optimized MgZn2Cu4 structure. The functional is PBE.

```
MgZn2Cu4
1.0
-3.7393 3.7393 2.4497
3.7393 -3.7393 2.4497
3.7393 3.7393 -2.4497
Zn Mg Cu
2 1 4
direct
0.2500 0.7500 0.5000
0.7500 0.2500 0.5000
0.0000 0.0000 0.0000
0.5000 0.7194 0.2194
0.2806 0.5000 0.7806
0.7194 0.5000 0.2194
0.5000 0.2806 0.7806
```

Properties
space group: I4/mmm, No. 139

Version B
This record from the Alexandria database describes a geometry-optimized MgZn2Cu4 structure. The functional is PBE.

```
MgZn2Cu4
1.0
-4.8867 -1.3870 0.4842
2.7719 -1.2042 -4.1115
2.3313 -2.5045 3.7855
Cu Zn Mg
4 2 1
direct
0.6960 0.6960 0.3920
0.3040 0.6960 0.0000
0.6960 0.3040 0.0000
0.3040 0.3040 0.6080
0.2500 0.7500 0.5000
0.7500 0.2500 0.5000
0.0000 0.0000 0.0000
```

Properties
space group: I4/mmm, No. 139

Version C
This record from the Alexandria database describes a geometry-optimized MgZn2Cu4 structure. The functional is PBE.

```
MgZn2Cu4
1.0
-5.1163 2.8916 2.9429
-6.3034 1.6138 -0.9285
-6.0594 -1.1902 2.2508
Zn Cu Mg
2 4 1
direct
0.7250 0.7250 0.7250
0.2750 0.2750 0.2750
0.8585 0.8585 0.8585
0.4284 0.4284 0.4284
0.5716 0.5716 0.5716
0.1415 0.1415 0.1415
0.0000 0.0000 0.0000
```

Properties
space group: R-3m, No. 166

Result of the stability comparison: version A is the least stable of them.

Version A
This record from the Alexandria database describes a geometry-optimized MgZn2Cu4 structure. The functional is PBE.

```
MgZn2Cu4
1.0
-4.2507 -1.9701 5.1730
-4.7533 4.1276 3.0129
2.2940 -2.0321 -6.2703
Zn Cu Mg
2 4 1
direct
0.6041 0.6041 0.0000
0.3959 0.3959 0.0000
0.7966 0.7966 0.0000
0.5000 0.0000 0.5000
0.2034 0.2034 0.0000
0.0000 0.5000 0.5000
0.0000 0.0000 0.0000
```

Properties
space group: I4/mmm, No. 139

Version B
This record from the Alexandria database describes a geometry-optimized MgZn2Cu4 structure. The functional is PBE.

```
MgZn2Cu4
1.0
-3.5112 -0.5946 5.4024
2.8007 -5.7536 -0.9594
4.4233 4.6857 0.5888
Cu Zn Mg
8 4 2
direct
0.0210 0.5210 0.2064
0.5210 0.3146 0.5000
0.6854 0.1854 0.2064
0.3146 0.8146 0.7936
0.8146 0.0210 0.5000
0.1854 0.9790 0.5000
0.9790 0.4790 0.7936
0.4790 0.6854 0.5000
0.6523 0.1523 0.8046
0.3477 0.8477 0.1954
0.8477 0.6523 0.5000
0.1523 0.3477 0.5000
0.2500 0.2500 0.0000
0.7500 0.7500 0.0000
```

Properties
space group: I4/mcm, No. 140

Result of the stability comparison: version A is the least stable of them.

Version A
This record from the Alexandria database describes a geometry-optimized Mg3Zn2Cu structure. The functional is PBE.

```
Mg3Zn2Cu
1.0
-4.5849 -0.4132 0.3696
2.7173 -3.6542 0.7692
0.6238 2.7367 10.7973
Zn Mg Cu
4 6 2
direct
0.6667 0.3333 0.8617
0.6667 0.3333 0.6383
0.3333 0.6667 0.1383
0.3333 0.6667 0.3617
0.0000 0.0000 0.5000
0.3333 0.6667 0.6197
0.0000 0.0000 0.0000
0.6667 0.3333 0.1197
0.3333 0.6667 0.8803
0.6667 0.3333 0.3803
0.0000 0.0000 0.7500
0.0000 0.0000 0.2500
```

Properties
space group: P6_3/mmc, No. 194

Version B
This record from the Alexandria database describes a geometry-optimized Mg3Zn2Cu structure. The functional is PBE.

```
Mg3Zn2Cu
1.0
3.1394 0.0000 0.0000
0.0000 4.4531 -1.4742
0.0000 -0.0283 7.3772
Mg Zn Cu
3 2 1
direct
0.5000 0.8413 0.6826
0.5000 0.5000 0.0000
0.5000 0.1587 0.3174
0.0000 0.6710 0.3421
0.0000 0.3290 0.6579
0.0000 0.0000 0.0000
```

Properties
space group: Cmmm, No. 65

Version C
This record from the Alexandria database describes a geometry-optimized Mg3Zn2Cu structure. The functional is PBE.

```
Mg3Zn2Cu
1.0
6.0108 -0.0004 0.0000
-3.0058 5.2123 0.0000
0.0000 0.0000 7.2838
Zn Mg Cu
4 6 2
direct
0.3334 0.6670 0.5750
0.3334 0.6670 0.9250
0.6666 0.3330 0.4250
0.6666 0.3330 0.0750
0.1710 0.8272 0.2500
0.6562 0.8272 0.2500
0.8285 0.6569 0.7500
0.1715 0.3431 0.2500
0.3438 0.1728 0.7500
0.8290 0.1728 0.7500
0.0000 0.0000 0.5000
0.0000 0.0000 0.0000
```

Properties
space group: Cmcm, No. 63

Version D
This record from the Alexandria database describes a geometry-optimized Mg3Zn2Cu structure. The functional is PBE.

```
Mg3Zn2Cu
1.0
6.4991 -0.0407 0.0000
1.2650 6.3750 0.0000
0.0000 0.0000 5.1367
Mg Zn Cu
6 4 2
direct
0.9418 0.5981 0.7500
0.0582 0.4019 0.2500
0.0765 0.0765 0.7500
0.5981 0.9418 0.7500
0.4019 0.0582 0.2500
0.9235 0.9235 0.2500
0.6790 0.3210 0.0000
0.6790 0.3210 0.5000
0.3210 0.6790 0.0000
0.3210 0.6790 0.5000
0.3341 0.3341 0.7500
0.6659 0.6659 0.2500
```

Properties
space group: Cmcm, No. 63

Result of the stability comparison: version C is the least stable of them.

Version A
This record from the Alexandria database describes a geometry-optimized Mg3Zn2Cu structure. The functional is PBE.

```
Mg3Zn2Cu
1.0
7.4429 0.0448 0.0000
-4.6019 5.8499 0.0000
0.0000 0.0000 5.0323
Mg Zn Cu
6 4 2
direct
0.5543 0.9265 0.2500
0.8927 0.1073 0.7500
0.9265 0.5543 0.7500
0.4457 0.0735 0.7500
0.0735 0.4457 0.2500
0.1073 0.8927 0.2500
0.6935 0.6935 0.5000
0.6935 0.6935 0.0000
0.3065 0.3065 0.5000
0.3065 0.3065 0.0000
0.6500 0.3500 0.2500
0.3500 0.6500 0.7500
```

Properties
space group: Cmcm, No. 63

Version B
This record from the Alexandria database describes a geometry-optimized Mg3Zn2Cu structure. The functional is PBE.

```
Mg3Zn2Cu
1.0
-4.4540 1.8944 -1.6732
-3.3594 0.3145 3.8526
-0.5385 4.8674 1.4983
Mg Zn Cu
3 2 1
direct
0.0000 0.5000 0.5000
0.5000 0.0000 0.5000
0.5000 0.5000 0.0000
0.1157 0.1157 0.1157
0.8843 0.8843 0.8843
0.5000 0.5000 0.5000
```

Properties
space group: R-3m, No. 166

Result of the stability comparison: version B is the least stable of them.

Version A
This record from the Alexandria database describes a geometry-optimized MgZn4Cu8 structure. The functional is PBE.

```
MgZn4Cu8
1.0
6.9917 0.0493 0.0000
-5.9945 3.5989 0.0000
-0.4986 -1.8241 6.7313
Zn Cu Mg
4 8 1
direct
0.2912 0.4638 0.7550
0.7088 0.5362 0.2450
0.4638 0.7088 0.1727
0.5362 0.2912 0.8273
0.2314 0.8415 0.0730
0.6158 0.9305 0.5463
0.9305 0.3842 0.3148
0.8415 0.7686 0.6101
0.1585 0.2314 0.3899
0.7686 0.1585 0.9270
0.3842 0.0695 0.4537
0.0695 0.6158 0.6852
0.0000 0.0000 0.0000
```

Properties
space group: I4/m, No. 87

Version B
This record from the Alexandria database describes a geometry-optimized MgZn4Cu8 structure. The functional is PBE.

```
MgZn4Cu8
1.0
6.4852 0.0432 0.0000
-4.6218 4.5496 0.0000
-0.9317 -2.2964 5.9931
Zn Cu Mg
4 8 1
direct
0.5000 0.5000 0.5000
0.0000 0.0000 0.5000
0.0000 0.5000 0.0000
0.5000 0.0000 0.0000
0.2861 0.5000 0.7861
0.5000 0.7139 0.2139
0.7139 0.5000 0.2139
0.3550 0.0000 0.3550
0.0000 0.6450 0.6450
0.6450 0.0000 0.6450
0.0000 0.3550 0.3550
0.5000 0.2861 0.7861
0.0000 0.0000 0.0000
```

Properties
space group: I4/mmm, No. 139

Result of the stability comparison: version B is the least stable of them.

Version A
This record from the Alexandria database describes a geometry-optimized Mg2Zn3Cu2 structure. The functional is PBE.

```
Mg2Zn3Cu2
1.0
-2.9930 -2.7263 2.8715
-2.7699 -3.9617 -1.1266
7.0423 -9.1553 3.2222
Zn Cu Mg
6 4 4
direct
0.3097 0.3097 0.8432
0.8447 0.8447 0.5380
0.1218 0.1218 0.0440
0.1553 0.1553 0.4620
0.6903 0.6903 0.1568
0.8782 0.8782 0.9560
0.2183 0.2183 0.6610
0.0928 0.0928 0.2640
0.9072 0.9072 0.7360
0.7817 0.7817 0.3390
0.4676 0.4676 0.3819
0.3936 0.3936 0.1454
0.6064 0.6064 0.8546
0.5324 0.5324 0.6181
```

Properties
space group: C2/m, No. 12

Version B
This record from the Alexandria database describes a geometry-optimized Mg2Zn3Cu2 structure. The functional is PBE.

```
Mg2Zn3Cu2
1.0
2.0371 -9.0468 0.0000
2.0371 9.0468 0.0000
0.0000 0.0000 3.0175
Mg Zn Cu
2 3 2
direct
0.8416 0.1584 0.0000
0.1584 0.8416 0.0000
0.0000 0.0000 0.0000
0.4286 0.5714 0.5000
0.5714 0.4286 0.5000
0.7113 0.2887 0.5000
0.2887 0.7113 0.5000
```

Properties
space group: Cmmm, No. 65

Result of the stability comparison: version B is the least stable of them.

Version A
This record from the Alexandria database describes a geometry-optimized Mg2Zn2Cu structure. The functional is PBE.

```
Mg2Zn2Cu
1.0
-7.4509 4.4504 2.5162
4.8438 -7.5539 -1.0626
1.6362 0.4894 3.9794
Zn Mg Cu
4 4 2
direct
0.6504 0.3496 0.2500
0.4410 0.5590 0.2500
0.5590 0.4410 0.7500
0.3496 0.6504 0.7500
0.2506 0.7494 0.2500
0.7494 0.2506 0.7500
0.0551 0.9449 0.2500
0.9449 0.0551 0.7500
0.1458 0.8542 0.7500
0.8542 0.1458 0.2500
```

Properties
space group: Cmcm, No. 63

Version B
This record from the Alexandria database describes a geometry-optimized Mg2Zn2Cu structure. The functional is PBE.

```
Mg2Zn2Cu
1.0
-0.7586 3.0569 4.0709
-1.7793 3.6025 -3.2169
-2.1443 -4.6788 -0.0500
Mg Zn Cu
2 2 1
direct
0.2500 0.7500 0.5000
0.7500 0.2500 0.5000
0.6633 0.6633 0.0000
0.3367 0.3367 0.0000
0.0000 0.0000 0.0000
```

Properties
space group: I4/mmm, No. 139

Result of the stability comparison: version B is the least stable of them.